Compound: UCr2GaO8
Source: Alexandria
Functional: PBE+U
Structure: relaxed

Cell: 6.6410 6.6481 6.2408 Å, 90.00 90.00 90.00°
Space group Cmmm (No. 65)
Inequivalent atoms, fractional coordinates:
U 0.0000 0.0000 0.0000 x2
Cr 0.0000 0.5000 0.2632 x4
Ga 0.0000 0.0000 0.5000 x2
O 0.0000 0.1993 0.2592 x8
O 0.1868 0.5000 0.0000 x4
O 0.1926 0.5000 0.5000 x4

Properties
Electronic total energy = -7.899 eV per atom
N(E_F) = 5.548 states/eV/cell
Volume = 11.48 Å³/atom
Density = 6.5 Mg/m³